[1]
VASP calculation (PBE) on a relaxed LiSm2Ho3S6 crystal.

## Properties
The calculation puts the electronic total energy at -146.66 eV/cell. Its uncorrected formation energy is -23.48 eV/f.u.

Lattice parameters (Å, degrees): 6.773 11.763 6.785 90.00 109.59 90.00
Space group C2/m (No. 12)
Unique sites:
Li1 0.000 0.000 0.000 (multiplicity 2)
Sm1 0.000 0.334 0.000 (multiplicity 4)
Ho1 0.000 0.166 0.500 (multiplicity 4)
Ho2 0.000 0.500 0.500 (multiplicity 2)
S1 0.237 0.000 0.748 (multiplicity 4)
S2 0.246 0.161 0.255 (multiplicity 8)

=====

[2]
VASP calculation (PBE) on a relaxed LiSm4Ho3S8 crystal.

## Properties
The calculation puts the electronic total energy at -296.99 eV/cell. Its uncorrected formation energy is -31.45 eV/f.u.

Lattice parameters (Å, degrees): 7.8501 7.8501 19.3960 90.00 90.00 120.00
Space group R-3m (No. 166, hexagonal axes)
Unique sites:
Li1 0.0000 0.0000 0.0000 (multiplicity 3)
Sm1 0.0000 0.0000 0.5000 (multiplicity 3)
Sm2 0.0000 0.5000 0.5000 (multiplicity 9)
Ho1 0.0000 0.5000 0.0000 (multiplicity 9)
S1 0.0000 0.0000 0.2539 (multiplicity 6)
S2 0.0048 0.5024 0.7449 (multiplicity 18)

=====

[3]
VASP calculation (PBE) on a relaxed LiSm2HoS4 crystal.

## Properties
The calculation puts the electronic total energy at -47.87 eV/cell. Its uncorrected formation energy is -15.43 eV/f.u.

Lattice parameters (Å, degrees): 6.791 3.933 6.814 90.00 109.41 90.00
Space group P2/m (No. 10)
Unique sites:
Li1 0.000 0.000 0.000 (multiplicity 1)
Sm1 0.000 0.500 0.500 (multiplicity 1)
Sm2 0.500 0.000 0.500 (multiplicity 1)
Ho1 0.500 0.500 0.000 (multiplicity 1)
S1 0.244 0.500 0.237 (multiplicity 2)
S2 0.251 0.000 0.764 (multiplicity 2)

=====

[4]
VASP calculation (PBE) on a relaxed Li3SmHo2S6 crystal.

## Properties
The calculation puts the electronic total energy at -132.85 eV/cell. Its uncorrected formation energy is -22.04 eV/f.u.

Lattice parameters (Å, degrees): 6.810 11.797 6.585 90.00 110.14 90.00
Space group C2/m (No. 12)
Unique sites:
Li1 0.000 0.000 0.000 (multiplicity 2)
Li2 0.000 0.331 0.000 (multiplicity 4)
Sm1 0.000 0.500 0.500 (multiplicity 2)
Ho1 0.000 0.166 0.500 (multiplicity 4)
S1 0.244 0.000 0.752 (multiplicity 4)
S2 0.246 0.170 0.249 (multiplicity 8)